Compound: InSi2
Source: Alexandria via LeMat-Bulk
Functional: PBE-GGA
Structure: relaxed

Cell: 5.434 5.434 5.434 Å, 60.00 60.00 60.00°
Positions (direct):
In1 0.125 0.125 0.125
In2 0.875 0.875 0.875
Si1 0.000 0.500 0.500
Si2 0.500 0.000 0.500
Si3 0.500 0.500 0.000
Si4 0.500 0.500 0.500

Results
M_tot ... 0.00 μB per atom
Volume ... 18.92 Å³/atom
E_tot ... -24.32 eV for the cell shown
DOS at the Fermi energy ... 0.7875 states/eV/atom